ZrAgRh2 | Alexandria via LeMat-Bulk | PBE | relaxed; calculated total energy = -6.552 eV per atom; SG = P4mm (99); magnetic moment = 0.286 μB/atom; mass density = 9.90 g cm⁻³
1.0
2.911 0.000 0.000
0.000 2.911 0.000
0.000 0.000 8.012
Zr Ag Rh
1 1 2
direct
0.000 0.000 0.000 Zr
0.500 0.500 0.283 Ag
0.000 0.000 0.531 Rh
0.500 0.500 0.756 Rh

=====

Cr8Co3NiS16 | Alexandria via LeMat-Bulk | PBE | relaxed; raw formation energy = -17.174 eV per formula unit; SG = P-4m2 (115); magnetic moment = 0.477 μB/atom; mass density = 4.16 g cm⁻³
1.0
6.907 0.000 0.000
0.000 6.907 0.000
0.000 0.000 9.750
Cr Co Ni S
8 3 1 16
direct
0.000 0.250 0.374 Cr
0.000 0.750 0.374 Cr
0.249 0.500 0.125 Cr
0.250 0.000 0.626 Cr
0.500 0.249 0.875 Cr
0.500 0.751 0.875 Cr
0.750 0.000 0.626 Cr
0.751 0.500 0.125 Cr
0.000 0.500 0.750 Co
0.500 0.000 0.250 Co
0.500 0.500 0.500 Co
0.000 0.000 0.000 Ni
0.000 0.238 0.620 S
0.000 0.261 0.130 S
0.000 0.739 0.130 S
0.000 0.762 0.620 S
0.238 0.000 0.380 S
0.238 0.500 0.369 S
0.261 0.000 0.870 S
0.261 0.500 0.881 S
0.500 0.238 0.631 S
0.500 0.261 0.119 S
0.500 0.739 0.119 S
0.500 0.762 0.631 S
0.739 0.000 0.870 S
0.739 0.500 0.881 S
0.762 0.000 0.380 S
0.762 0.500 0.369 S

=====

Fe5Hg3I12 | Alexandria via LeMat-Bulk | PBE | relaxed; raw formation energy = -0.051 eV per formula unit; SG = Ia-3d (230); magnetic moment = 1.046 μB/atom; mass density = 5.50 g cm⁻³
1.0
-8.986 8.986 8.986
8.986 -8.986 8.986
8.986 8.986 -8.986
Fe Hg I
20 12 48
direct
0.000 0.000 0.000 Fe
0.000 0.000 0.500 Fe
0.000 0.500 0.000 Fe
0.000 0.500 0.500 Fe
0.125 0.750 0.875 Fe
0.125 0.875 0.250 Fe
0.250 0.125 0.875 Fe
0.250 0.625 0.375 Fe
0.375 0.250 0.625 Fe
0.375 0.625 0.750 Fe
0.500 0.000 0.000 Fe
0.500 0.000 0.500 Fe
0.500 0.500 0.000 Fe
0.500 0.500 0.500 Fe
0.625 0.375 0.250 Fe
0.625 0.750 0.375 Fe
0.750 0.375 0.625 Fe
0.750 0.875 0.125 Fe
0.875 0.125 0.750 Fe
0.875 0.250 0.125 Fe
0.125 0.250 0.375 Hg
0.125 0.375 0.750 Hg
0.250 0.375 0.125 Hg
0.250 0.875 0.625 Hg
0.375 0.125 0.250 Hg
0.375 0.750 0.125 Hg
0.625 0.250 0.875 Hg
0.625 0.875 0.750 Hg
0.750 0.125 0.375 Hg
0.750 0.625 0.875 Hg
0.875 0.625 0.250 Hg
0.875 0.750 0.625 Hg
0.014 0.196 0.111 I
0.014 0.318 0.903 I
0.085 0.696 0.682 I
0.085 0.889 0.403 I
0.097 0.611 0.415 I
0.097 0.986 0.682 I
0.111 0.014 0.196 I
0.111 0.597 0.915 I
0.182 0.196 0.585 I
0.182 0.486 0.597 I
0.196 0.111 0.014 I
0.196 0.585 0.182 I
0.304 0.318 0.915 I
0.304 0.486 0.389 I
0.318 0.903 0.014 I
0.318 0.915 0.304 I
0.389 0.304 0.486 I
0.389 0.585 0.903 I
0.403 0.085 0.889 I
0.403 0.818 0.514 I
0.415 0.097 0.611 I
0.415 0.818 0.804 I
0.486 0.389 0.304 I
0.486 0.597 0.182 I
0.514 0.403 0.818 I
0.514 0.611 0.696 I
0.585 0.182 0.196 I
0.585 0.903 0.389 I
0.597 0.182 0.486 I
0.597 0.915 0.111 I
0.611 0.415 0.097 I
0.611 0.696 0.514 I
0.682 0.085 0.696 I
0.682 0.097 0.986 I
0.696 0.514 0.611 I
0.696 0.682 0.085 I
0.804 0.415 0.818 I
0.804 0.889 0.986 I
0.818 0.514 0.403 I
0.818 0.804 0.415 I
0.889 0.403 0.085 I
0.889 0.986 0.804 I
0.903 0.014 0.318 I
0.903 0.389 0.585 I
0.915 0.111 0.597 I
0.915 0.304 0.318 I
0.986 0.682 0.097 I
0.986 0.804 0.889 I

=====

- The lowest mass density belongs to which entry?
  Cr8Co3NiS16